Entry 1:
# BPdBr2 (PBE, optimized geometry)
data_BPdBr2
_cell_length_a 4.7942
_cell_length_b 4.7942
_cell_length_c 4.7942
_cell_angle_alpha 60.00
_cell_angle_beta 60.00
_cell_angle_gamma 60.00
_space_group_name_H-M_alt 'P 1'
_space_group_IT_number 1
loop_
_space_group_symop_operation_xyz
'x,y,z'
loop_
_atom_site_label
_atom_site_type_symbol
_atom_site_fract_x
_atom_site_fract_y
_atom_site_fract_z
Br1 Br 0.7500 0.7500 0.7500
Br2 Br 0.2500 0.2500 0.2500
B1 B 0.0000 0.0000 0.0000
Pd1 Pd 0.5000 0.5000 0.5000
# Calculated density (g cm⁻³): 5.904
# VASP energy (eV/atom): -2.675
# Energy relative to the elements, uncorrected (eV/atom): 1.13
# Space group: Fm-3m, No. 225

---

Entry 2:
# Pu3Mo (PBE, optimized geometry)
data_Pu3Mo
_cell_length_a 4.8017
_cell_length_b 2.9553
_cell_length_c 5.7015
_cell_angle_alpha 90.00
_cell_angle_beta 90.00
_cell_angle_gamma 90.00
_space_group_name_H-M_alt 'P 1'
_space_group_IT_number 1
loop_
_space_group_symop_operation_xyz
'x,y,z'
loop_
_atom_site_label
_atom_site_type_symbol
_atom_site_fract_x
_atom_site_fract_y
_atom_site_fract_z
Mo1 Mo 0.0000 0.0000 0.9353
Pu1 Pu 0.5000 0.5000 0.2220
Pu2 Pu 0.0000 0.5000 0.4313
Pu3 Pu 0.5000 0.0000 0.7448
# Calculated density (g cm⁻³): 16.992
# VASP energy (eV/atom): -13.154
# Space group: Pmm2, No. 25
# E_form (eV/atom): 0.30

---

Entry 3:
# BaCaMg2Ni (PBE, optimized geometry)
data_BaCaMg2Ni
_cell_length_a 5.2356
_cell_length_b 5.2356
_cell_length_c 5.5895
_cell_angle_alpha 90.00
_cell_angle_beta 90.00
_cell_angle_gamma 90.00
_space_group_name_H-M_alt 'P 1'
_space_group_IT_number 1
loop_
_space_group_symop_operation_xyz
'x,y,z'
loop_
_atom_site_label
_atom_site_type_symbol
_atom_site_fract_x
_atom_site_fract_y
_atom_site_fract_z
Mg1 Mg 0.0000 0.5000 0.0000
Mg2 Mg 0.5000 0.0000 0.0000
Ca1 Ca 0.5000 0.5000 0.5000
Ni1 Ni 0.0000 0.0000 0.0000
Ba1 Ba 0.0000 0.0000 0.5000
# Calculated density (g cm⁻³): 3.086
# VASP energy (eV/atom): -2.521
# Space group: P4/mmm, No. 123
# E_form (eV/atom): 0.06

---

Entry 4:
# Sc2CuAu (PBE, optimized geometry)
data_Sc2CuAu
_cell_length_a 4.6120
_cell_length_b 4.6120
_cell_length_c 4.6120
_cell_angle_alpha 60.00
_cell_angle_beta 60.00
_cell_angle_gamma 60.00
_space_group_name_H-M_alt 'P 1'
_space_group_IT_number 1
loop_
_space_group_symop_operation_xyz
'x,y,z'
loop_
_atom_site_label
_atom_site_type_symbol
_atom_site_fract_x
_atom_site_fract_y
_atom_site_fract_z
Cu1 Cu 0.7500 0.7500 0.7500
Sc1 Sc 0.0000 0.0000 0.0000
Sc2 Sc 0.2500 0.2500 0.2500
Au1 Au 0.5000 0.5000 0.5000
# Calculated density (g cm⁻³): 8.388
# VASP energy (eV/atom): -5.388
# Space group: F-43m, No. 216
# E_form (eV/atom): -0.38

---

Entry 5:
# Na2Si2Rh (PBE, optimized geometry)
data_Na2Si2Rh
_cell_length_a 6.1668
_cell_length_b 6.1668
_cell_length_c 5.0240
_cell_angle_alpha 90.00
_cell_angle_beta 90.00
_cell_angle_gamma 90.00
_space_group_name_H-M_alt 'P 1'
_space_group_IT_number 1
loop_
_space_group_symop_operation_xyz
'x,y,z'
loop_
_atom_site_label
_atom_site_type_symbol
_atom_site_fract_x
_atom_site_fract_y
_atom_site_fract_z
Si1 Si 0.3648 0.8648 0.0000
Si2 Si 0.6352 0.1352 0.0000
Si3 Si 0.1352 0.3648 0.0000
Si4 Si 0.8648 0.6352 0.0000
Na1 Na 0.1826 0.6826 0.5000
Na2 Na 0.8174 0.3174 0.5000
Na3 Na 0.3174 0.1826 0.5000
Na4 Na 0.6826 0.8174 0.5000
Rh1 Rh 0.0000 0.0000 0.0000
Rh2 Rh 0.5000 0.5000 0.0000
# Calculated density (g cm⁻³): 3.564
# VASP energy (eV/atom): -4.344
# Energy relative to the elements, uncorrected (eV/atom): -0.18
# Space group: P4/mbm, No. 127

---

Entry 6:
# ZrAl2Cu2 (PBE, optimized geometry)
data_ZrAl2Cu2
_cell_length_a 3.4212
_cell_length_b 5.5252
_cell_length_c 8.9056
_cell_angle_alpha 90.00
_cell_angle_beta 90.00
_cell_angle_gamma 90.00
_space_group_name_H-M_alt 'P 1'
_space_group_IT_number 1
loop_
_space_group_symop_operation_xyz
'x,y,z'
loop_
_atom_site_label
_atom_site_type_symbol
_atom_site_fract_x
_atom_site_fract_y
_atom_site_fract_z
Cu1 Cu 0.5000 0.7596 0.2395
Cu2 Cu 0.5000 0.2404 0.7605
Cu3 Cu 0.5000 0.2596 0.2605
Cu4 Cu 0.5000 0.7404 0.7395
Zr1 Zr 0.0000 0.5000 0.5000
Zr2 Zr 0.0000 0.0000 0.0000
Al1 Al 0.0000 0.5023 0.8599
Al2 Al 0.0000 0.9977 0.3599
Al3 Al 0.0000 0.4977 0.1401
Al4 Al 0.0000 0.0023 0.6401
# Calculated density (g cm⁻³): 5.371
# VASP energy (eV/atom): -4.926
# Space group: Pbam, No. 55
# E_form (eV/atom): -0.08

---

Entry 7:
# Ta3Nb2Ru (PBE, optimized geometry)
data_Ta3Nb2Ru
_cell_length_a 2.9183
_cell_length_b 9.0352
_cell_length_c 8.4480
_cell_angle_alpha 90.00
_cell_angle_beta 69.82
_cell_angle_gamma 90.00
_space_group_name_H-M_alt 'P 1'
_space_group_IT_number 1
loop_
_space_group_symop_operation_xyz
'x,y,z'
loop_
_atom_site_label
_atom_site_type_symbol
_atom_site_fract_x
_atom_site_fract_y
_atom_site_fract_z
Ta1 Ta 0.3310 0.2419 0.8391
Ta2 Ta 0.0000 0.7419 0.5000
Ta3 Ta 0.6690 0.7419 0.1609
Ta4 Ta 0.3310 0.7419 0.8391
Ta5 Ta 0.6690 0.2419 0.1609
Ta6 Ta 0.0000 0.2419 0.5000
Nb1 Nb 0.1572 0.4919 0.6725
Nb2 Nb 0.8428 0.9919 0.3275
Nb3 Nb 0.8429 0.4919 0.3277
Nb4 Nb 0.1571 0.9919 0.6723
Ru1 Ru 0.5002 0.4919 0.0000
Ru2 Ru 0.4998 0.9919 0.0000
# Calculated density (g cm⁻³): 13.180
# VASP energy (eV/atom): -10.954
# Space group: P2/m, No. 10
# E_form (eV/atom): -0.12

---

Entry 8:
# TbNd8Ho5 (PBE, optimized geometry)
data_TbNd8Ho5
_cell_length_a 8.5753
_cell_length_b 8.6664
_cell_length_c 8.5755
_cell_angle_alpha 114.19
_cell_angle_beta 98.02
_cell_angle_gamma 116.21
_space_group_name_H-M_alt 'P 1'
_space_group_IT_number 1
loop_
_space_group_symop_operation_xyz
'x,y,z'
loop_
_atom_site_label
_atom_site_type_symbol
_atom_site_fract_x
_atom_site_fract_y
_atom_site_fract_z
Ho1 Ho 0.5919 0.0000 0.5923
Ho2 Ho 0.8263 0.7375 0.6981
Ho3 Ho 0.3049 0.0387 0.9107
Ho4 Ho 0.9603 0.2620 0.0883
Ho5 Ho 0.8718 0.9612 0.2664
Nd1 Nd 0.4825 0.5477 0.2458
Nd2 Nd 0.6495 0.2177 0.3038
Nd3 Nd 0.6976 0.4521 0.9355
Nd4 Nd 0.0856 0.2092 0.7434
Nd5 Nd 0.2136 0.7300 0.0854
Nd6 Nd 0.0861 0.7828 0.4319
Nd7 Nd 0.3555 0.2697 0.4837
Nd8 Nd 0.5345 0.7912 0.8770
Tb1 Tb 0.0900 0.5003 0.5878
# Calculated density (g cm⁻³): 7.396
# VASP energy (eV/atom): -4.518
# Space group: P1, No. 1
# E_form (eV/atom): 0.17

---

Entry 9:
# ErTc2O8 (PBE, optimized geometry)
data_ErTc2O8
_cell_length_a 6.6951
_cell_length_b 6.6951
_cell_length_c 6.6967
_cell_angle_alpha 119.99
_cell_angle_beta 119.99
_cell_angle_gamma 90.00
_space_group_name_H-M_alt 'P 1'
_space_group_IT_number 1
loop_
_space_group_symop_operation_xyz
'x,y,z'
loop_
_atom_site_label
_atom_site_type_symbol
_atom_site_fract_x
_atom_site_fract_y
_atom_site_fract_z
O1 O 0.3571 0.0712 0.7142
O2 O 0.3571 0.6431 0.7142
O3 O 0.9288 0.6429 0.2858
O4 O 0.3569 0.6429 0.2858
O5 O 0.6429 0.3569 0.2858
O6 O 0.0712 0.3571 0.7142
O7 O 0.6429 0.9288 0.2858
O8 O 0.6431 0.3571 0.7142
Tc1 Tc 0.7500 0.2500 0.5000
Tc2 Tc 0.2500 0.7500 0.5000
Er1 Er 0.5000 0.5000 0.0000
# Calculated density (g cm⁻³): 3.842
# VASP energy (eV/atom): -7.785
# Energy relative to the elements, uncorrected (eV/atom): -1.88
# Space group: Fm-3m, No. 225

---

Entry 10:
# LaHfIN2 (PBE, optimized geometry)
data_LaHfIN2
_cell_length_a 4.3699
_cell_length_b 4.3699
_cell_length_c 6.1924
_cell_angle_alpha 90.00
_cell_angle_beta 90.00
_cell_angle_gamma 90.00
_space_group_name_H-M_alt 'P 1'
_space_group_IT_number 1
loop_
_space_group_symop_operation_xyz
'x,y,z'
loop_
_atom_site_label
_atom_site_type_symbol
_atom_site_fract_x
_atom_site_fract_y
_atom_site_fract_z
N1 N 0.0000 0.5000 0.0000
N2 N 0.5000 0.0000 0.0000
Hf1 Hf 0.5000 0.5000 0.5000
I1 I 0.0000 0.0000 0.5000
La1 La 0.0000 0.0000 0.0000
# Calculated density (g cm⁻³): 6.633
# VASP energy (eV/atom): -5.649
# Energy relative to the elements, uncorrected (eV/atom): 0.97
# Space group: P4/mmm, No. 123

---

Entry 11:
# Ta2SbMo (PBE, optimized geometry)
data_Ta2SbMo
_cell_length_a 4.6761
_cell_length_b 2.9647
_cell_length_c 5.3850
_cell_angle_alpha 85.32
_cell_angle_beta 90.00
_cell_angle_gamma 90.00
_space_group_name_H-M_alt 'P 1'
_space_group_IT_number 1
loop_
_space_group_symop_operation_xyz
'x,y,z'
loop_
_atom_site_label
_atom_site_type_symbol
_atom_site_fract_x
_atom_site_fract_y
_atom_site_fract_z
Ta1 Ta 0.0000 0.9745 0.0174
Ta2 Ta 0.0000 0.5255 0.4826
Mo1 Mo 0.5000 0.2500 0.2500
Sb1 Sb 0.5000 0.7500 0.7500
# Calculated density (g cm⁻³): 12.935
# VASP energy (eV/atom): -9.490
# Energy relative to the elements, uncorrected (eV/atom): 0.18
# Space group: P2/m, No. 10

---

Entry 12:
# VHg3H (PBE, optimized geometry)
data_VHg3H
_cell_length_a 4.4832
_cell_length_b 4.4832
_cell_length_c 4.4832
_cell_angle_alpha 90.00
_cell_angle_beta 90.00
_cell_angle_gamma 90.00
_space_group_name_H-M_alt 'P 1'
_space_group_IT_number 1
loop_
_space_group_symop_operation_xyz
'x,y,z'
loop_
_atom_site_label
_atom_site_type_symbol
_atom_site_fract_x
_atom_site_fract_y
_atom_site_fract_z
Hg1 Hg 0.0000 0.0000 0.5000
Hg2 Hg 0.5000 0.0000 0.0000
Hg3 Hg 0.0000 0.5000 0.0000
V1 V 0.5000 0.5000 0.5000
H1 H 0.0000 0.0000 0.0000
# Calculated density (g cm⁻³): 12.047
# VASP energy (eV/atom): -2.030
# Space group: Pm-3m, No. 221